This record from Alexandria via LeMat-Bulk describes a relaxed TcHgWO6 crystal. The functional is GGA+U.

Geometry as extended XYZ:
```
18
Lattice="7.384 0.000 0.000 0.000 7.271 0.000 -3.692 -3.635 5.199" Properties=species:S:1:pos:R:3 pbc="T T T"
Tc 3.692 3.635 0.000
Tc 3.692 0.000 0.000
Hg 3.692 1.818 3.673
Hg 0.000 1.818 1.526
W 1.846 -1.818 2.599
W -1.846 -1.818 2.599
O 0.000 1.818 4.643
O 3.692 -1.818 3.213
O 5.039 -0.457 1.313
O 2.345 4.092 1.313
O 2.345 -0.457 1.313
O 5.039 4.092 1.313
O 3.692 1.818 0.555
O 0.000 5.453 1.986
O -1.347 4.092 3.886
O 1.347 -0.457 3.886
O 1.347 4.092 3.886
O -1.347 -0.457 3.886
```

Energy in eV per cell: -119.872
Total moment in μB/cell: 1.93
Symmetry: No. 74
Crystal system: orthorhombic